(1)
The following is a DFT calculation (PBE-GGA) of an optimized crystal structure of Nd2SmSb2.

uncorrected formation energy = -4.33 eV/f.u.

Cell and atoms, written as CIF:
```
data_Nd2SmSb2
_cell_length_a 8.7551
_cell_length_b 11.9339
_cell_length_c 6.3863
_cell_angle_alpha 90.00
_cell_angle_beta 90.00
_cell_angle_gamma 90.00
_symmetry_space_group_name_H-M 'I b a m'
_symmetry_Int_Tables_number 72
_symmetry_space_group_name_Hall '-I 2 2c'
loop_
_atom_site_label
_atom_site_fract_x
_atom_site_fract_y
_atom_site_fract_z
_atom_site_occupancy
Nd1 0.1411 0.1502 0.0000 1
Sm1 0.0000 0.5000 0.2500 1
Sb1 0.2184 0.1098 0.5000 1
```



(2)
The following is a DFT calculation (PBE-GGA) of an optimized crystal structure of BaTl2HPd2.

total DFT energy (no corrections) = -3.7511 eV/atom

Cell and atoms, written as CIF:
```
data_BaTl2HPd2
_cell_length_a 4.6224
_cell_length_b 4.6224
_cell_length_c 13.3976
_cell_angle_alpha 90.00
_cell_angle_beta 90.00
_cell_angle_gamma 90.00
_symmetry_space_group_name_H-M 'I 4/m m m'
_symmetry_Int_Tables_number 139
_symmetry_space_group_name_Hall '-I 4 2'
loop_
_atom_site_label
_atom_site_fract_x
_atom_site_fract_y
_atom_site_fract_z
_atom_site_occupancy
Ba1 0.0000 0.0000 0.0000 1
Tl1 0.0000 0.5000 0.2500 1
H1 0.0000 0.0000 0.5000 1
Pd1 0.0000 0.0000 0.3732 1
```



(3)
The following is a DFT calculation (PBE-GGA) of an optimized crystal structure of Sm2HoErTm5.

total DFT energy (no corrections) = -4.2637 eV/atom

Cell and atoms, written as CIF:
```
data_Sm2HoErTm5
_cell_length_a 8.5538
_cell_length_b 8.5538
_cell_length_c 15.3769
_cell_angle_alpha 90.00
_cell_angle_beta 90.00
_cell_angle_gamma 90.00
_symmetry_space_group_name_H-M 'I 4/m c m'
_symmetry_Int_Tables_number 140
_symmetry_space_group_name_Hall '-I 4 2c'
loop_
_atom_site_label
_atom_site_fract_x
_atom_site_fract_y
_atom_site_fract_z
_atom_site_occupancy
Sm1 0.1168 0.3832 0.0000 1
Ho1 0.0000 0.0000 0.2500 1
Er1 0.0000 0.5000 0.2500 1
Tm1 0.0000 0.0000 0.0000 1
Tm2 0.2116 0.2884 0.3607 1
```